TlSb2TePd | Alexandria | PBE | relaxed; offset from the most stable computed form = 0.000 eV per atom; formation energy (no corrections) = 175 meV per atom
1.0
-1.754 -3.293 3.680
3.351 -3.662 -1.679
3.925 1.939 3.606
Tl Sb Pd Te
1 2 1 1
direct
0.500 0.500 0.500
0.000 0.500 0.000
0.500 0.000 0.000
0.000 0.000 0.000
0.000 0.000 0.500